VASP calculation (SCAN) on a PBEsol-optimized structure of KNaTa2.

Results
- Theoretical density: 7.9 Mg/m³
- Electronic total energy: -34.03 eV per atom
- Size of the total moment: 0.00 μB per formula unit

```
data_KNaTa2
_space_group_name_H-M_alt 'F m -3 m'
_space_group_IT_number 225
_space_group_name_Hall '-F 4 2 3'
_cell_length_a 7.0761
_cell_length_b 7.0761
_cell_length_c 7.0761
_cell_angle_alpha 90.00
_cell_angle_beta 90.00
_cell_angle_gamma 90.00
loop_
_atom_site_label
_atom_site_type_symbol
_atom_site_fract_x
_atom_site_fract_y
_atom_site_fract_z
K1 K 0.0000 0.0000 0.0000
Na1 Na 0.0000 0.0000 0.5000
Ta1 Ta 0.2500 0.2500 0.2500
```

***

VASP calculation (SCAN) on a PBEsol-optimized structure of K2NaTc.

Results
- Theoretical density: 2.3 Mg/m³
- Electronic total energy: -12.89 eV per atom
- Size of the total moment: 3.69 μB per formula unit

```
data_K2NaTc
_space_group_name_H-M_alt 'F m -3 m'
_space_group_IT_number 225
_space_group_name_Hall '-F 4 2 3'
_cell_length_a 8.3318
_cell_length_b 8.3318
_cell_length_c 8.3318
_cell_angle_alpha 90.00
_cell_angle_beta 90.00
_cell_angle_gamma 90.00
loop_
_atom_site_label
_atom_site_type_symbol
_atom_site_fract_x
_atom_site_fract_y
_atom_site_fract_z
K1 K 0.2500 0.2500 0.2500
Na1 Na 0.0000 0.0000 0.0000
Tc1 Tc 0.0000 0.0000 0.5000
```

***

VASP calculation (SCAN) on a PBEsol-optimized structure of K3NaTe.

Results
- Theoretical density: 1.8 Mg/m³
- Formation energy from raw total energies: -0.118 eV per atom
- Size of the total moment: 0.00 μB per formula unit

```
data_K3NaTe
_space_group_name_H-M_alt 'P m -3 m'
_space_group_IT_number 221
_space_group_name_Hall '-P 4 2 3'
_cell_length_a 6.2494
_cell_length_b 6.2494
_cell_length_c 6.2494
_cell_angle_alpha 90.00
_cell_angle_beta 90.00
_cell_angle_gamma 90.00
loop_
_atom_site_label
_atom_site_type_symbol
_atom_site_fract_x
_atom_site_fract_y
_atom_site_fract_z
K1 K 0.0000 0.0000 0.5000
Na1 Na 0.0000 0.0000 0.0000
Te1 Te 0.5000 0.5000 0.5000
```